# 1
{
  "formula": "La2TaTiIr",
  "functional": "PBE",
  "state": "relaxed",
  "total_energy_ev_per_fu": -35.7,
  "dos_at_fermi_per_ev_cell": 7.430,
  "magnetic_moment_mub_per_fu": 2.2,
  "delta_e_f_ev_per_atom": 0.56,
  "rho_g_cm3": 7.799,
  "volume_a3_per_atom": 29.760,
  "lattice": [[-1.271, 0.454, -5.448], [0.812, -4.617, -0.574], [-5.381, -1.091, 1.164]],
  "species": ["Ta", "La", "Ir", "Ti", "La"],
  "fractional_positions": [[0.500, 0.500, 0.500], [0.000, 0.000, 0.500], [0.000, 0.000, 0.000], [0.000, 0.500, 0.000], [0.500, 0.000, 0.000]]
}

# 2
{
  "formula": "LaZrTaIr2",
  "functional": "PBE",
  "state": "relaxed",
  "total_energy_ev_per_fu": -46.5,
  "dos_at_fermi_per_ev_cell": 3.707,
  "magnetic_moment_mub_per_fu": 0.0,
  "delta_e_f_ev_per_atom": -0.69,
  "rho_g_cm3": 11.907,
  "volume_a3_per_atom": 22.188,
  "lattice": [[-2.381, -2.742, -2.719], [2.788, 0.989, -3.439], [2.971, -3.254, 4.465]],
  "species": ["Ir", "Zr", "La", "Ta", "Ir"],
  "fractional_positions": [[0.624, 0.624, 0.248], [0.750, 0.250, 0.500], [0.000, 0.000, 0.000], [0.250, 0.750, 0.500], [0.376, 0.376, 0.752]]
}

# 3
{
  "formula": "La2TbIr9",
  "functional": "PBE",
  "state": "relaxed",
  "total_energy_ev_per_fu": -100.6,
  "dos_at_fermi_per_ev_cell": 10.408,
  "magnetic_moment_mub_per_fu": 0.0,
  "delta_e_f_ev_per_atom": -0.53,
  "rho_g_cm3": 16.168,
  "volume_a3_per_atom": 18.544,
  "lattice": [[-2.244, 4.791, -0.859], [-5.302, 0.393, -0.680], [-3.565, 2.816, 8.303]],
  "species": ["Ir", "La", "Tb", "Ir", "Ir", "Ir", "Ir", "La", "Ir", "Ir", "Ir", "Ir"],
  "fractional_positions": [[0.578, 0.578, 0.761], [0.861, 0.861, 0.418], [0.000, 0.000, 0.000], [0.422, 0.917, 0.239], [0.917, 0.422, 0.239], [0.083, 0.578, 0.761], [0.668, 0.668, 0.996], [0.139, 0.139, 0.582], [0.578, 0.083, 0.761], [0.422, 0.422, 0.239], [0.332, 0.332, 0.004], [0.500, 0.500, 0.500]]
}

# 4
{
  "formula": "La3Tb2Ir3",
  "functional": "PBE",
  "state": "relaxed",
  "total_energy_ev_per_fu": -55.4,
  "dos_at_fermi_per_ev_cell": 10.213,
  "magnetic_moment_mub_per_fu": 0.0,
  "delta_e_f_ev_per_atom": -0.60,
  "rho_g_cm3": 8.418,
  "volume_a3_per_atom": 32.331,
  "lattice": [[-2.932, 3.869, -2.896], [-4.013, -5.414, 2.347], [-2.756, 6.807, 11.886]],
  "species": ["Ir", "Ir", "Ir", "La", "Ir", "Tb", "Tb", "La", "Ir", "La", "Tb", "La", "La", "La", "Tb", "Ir"],
  "fractional_positions": [[0.787, 0.573, 0.755], [0.157, 0.313, 0.941], [0.853, 0.707, 0.057], [0.659, 0.318, 0.576], [0.143, 0.285, 0.563], [0.320, 0.639, 0.436], [0.327, 0.654, 0.066], [0.053, 0.106, 0.117], [0.215, 0.429, 0.250], [0.255, 0.510, 0.748], [0.935, 0.871, 0.611], [0.047, 0.094, 0.383], [0.751, 0.501, 0.248], [0.956, 0.913, 0.876], [0.680, 0.361, 0.938], [0.843, 0.685, 0.440]]
}

# 5
{
  "formula": "La3TbIr",
  "functional": "PBE",
  "state": "relaxed",
  "e_above_lowest_polymorph_mev_per_atom": 0,
  "total_energy_ev_per_fu": -29.8,
  "dos_at_fermi_per_ev_cell": 13.905,
  "magnetic_moment_mub_per_fu": 0.0,
  "delta_e_f_ev_per_atom": -0.30,
  "rho_g_cm3": 7.322,
  "volume_a3_per_atom": 34.826,
  "lattice": [[-4.360, -4.691, -1.069], [4.775, -3.776, -2.902], [1.739, -3.225, 7.059]],
  "species": ["La", "La", "Ir", "Tb", "La", "Ir", "La", "Tb", "La", "La"],
  "fractional_positions": [[0.925, 0.493, 0.451], [0.425, 0.860, 0.951], [0.175, 0.676, 0.701], [0.928, 0.012, 0.201], [0.425, 0.860, 0.451], [0.675, 0.677, 0.201], [0.426, 0.324, 0.201], [0.428, 0.341, 0.701], [0.926, 0.028, 0.701], [0.925, 0.493, 0.951]]
}

# 6
{
  "formula": "La3TbIr2",
  "functional": "PBE",
  "state": "relaxed",
  "total_energy_ev_per_fu": -40.9,
  "dos_at_fermi_per_ev_cell": 10.936,
  "magnetic_moment_mub_per_fu": 0.0,
  "delta_e_f_ev_per_atom": -0.63,
  "rho_g_cm3": 8.461,
  "volume_a3_per_atom": 31.403,
  "lattice": [[-0.013, -0.761, 8.749], [4.180, -1.205, 7.628], [2.658, 9.391, 6.226]],
  "species": ["La", "La", "Ir", "La", "Ir", "Ir", "Ir", "La", "La", "Tb", "Tb", "La"],
  "fractional_positions": [[0.331, 0.331, 0.025], [0.786, 0.786, 0.598], [0.863, 0.863, 0.840], [0.950, 0.950, 0.233], [0.383, 0.383, 0.429], [0.617, 0.617, 0.571], [0.137, 0.137, 0.160], [0.214, 0.214, 0.402], [0.669, 0.669, 0.975], [0.424, 0.424, 0.664], [0.576, 0.576, 0.336], [0.050, 0.050, 0.767]]
}